! BaPF6, optimized geometry, DFT PBE-GGA; values from VASP
&SYSTEM
  ibrav = 0, nat = 8, ntyp = 3
/
ATOMIC_SPECIES
Ba 137.33 Ba.upf
P 30.97 P.upf
F 19.00 F.upf
CELL_PARAMETERS angstrom
2.644 1.526 4.910
-2.644 1.526 4.910
0.000 -3.053 4.910
ATOMIC_POSITIONS crystal
Ba 0.000 0.000 0.000
P 0.500 0.500 0.500
F 0.110 0.587 0.587
F 0.413 0.413 0.890
F 0.413 0.890 0.413
F 0.587 0.110 0.587
F 0.587 0.587 0.110
F 0.890 0.413 0.413
! **Excess energy over the best structure of this formula in the dataset**: 47 meV/atom
! **Energy relative to the elements, uncorrected**: -2726 meV/atom
! **Calculated density**: 3.94 g/cm3